A plane-wave DFT calculation with PBE was carried out for a relaxed BaNpPbO6 crystal.

Properties
The spin magnetization comes out at 0.0 μB/cell. The value obtained for the total DFT energy (no corrections) is -7.54 eV/atom.

Structure (CIF):
```
data_BaNpPbO6
_chemical_formula_sum 'Ba2 Np2 Pb2 O12'
_cell_length_a 5.8814
_cell_length_b 5.8814
_cell_length_c 11.2977
_cell_angle_alpha 90.00
_cell_angle_beta 90.00
_cell_angle_gamma 120.00
_space_group_name_H-M_alt 'P 1'
_space_group_IT_number 1
_space_group_name_Hall 'P 1'
loop_
_atom_site_label
_atom_site_fract_x
_atom_site_fract_y
_atom_site_fract_z
O1 0.3523 0.3905 0.8532
O2 0.6095 0.6477 0.6468
O3 0.0382 0.6477 0.8532
O4 0.9618 0.6095 0.3532
O5 0.3905 0.0382 0.1468
O6 0.6095 0.9618 0.8532
O7 0.3905 0.3523 0.3532
O8 0.6477 0.6095 0.1468
O9 0.0382 0.3905 0.6468
O10 0.6477 0.0382 0.3532
O11 0.3523 0.9618 0.6468
O12 0.9618 0.3523 0.1468
Ba1 0.0000 0.0000 0.0000
Ba2 0.0000 0.0000 0.5000
Pb1 0.6667 0.3333 0.7500
Pb2 0.3333 0.6667 0.2500
Np1 0.6667 0.3333 0.2500
Np2 0.3333 0.6667 0.7500
```